Entry 1:
{
  "formula": "RbPu2S3",
  "functional": "PBE",
  "state": "relaxed",
  "lattice_angstrom": [[7.454, 0.000, 0.000], [0.000, 7.135, -0.669], [0.000, -2.987, 6.514]],
  "species": ["Pu", "Pu", "Rb", "S", "S", "S", "S", "Pu", "S", "Pu", "S", "Rb"],
  "fractional_positions": [[0.500, 0.833, 0.167], [0.500, 0.167, 0.833], [0.750, 0.499, 0.499], [0.750, 0.001, 0.500], [0.250, 0.001, 0.001], [0.250, 0.999, 0.500], [0.750, 0.500, 0.001], [0.000, 0.833, 0.167], [0.250, 0.500, 0.999], [0.000, 0.167, 0.833], [0.750, 0.999, 0.999], [0.250, 0.501, 0.501]],
  "dft_energy_ev_per_atom": -8.53,
  "magnetic_moment_mub_per_atom": 1.810,
  "volume_a3_per_atom": 27.6,
  "e_form_raw_ev_per_fu": -9.2
}

Entry 2:
{
  "formula": "Rb2PuS3",
  "functional": "PBE",
  "state": "relaxed",
  "lattice_angstrom": [[-2.993, -1.396, 4.812], [7.905, -0.838, 4.674], [-3.572, 8.499, 0.244]],
  "species": ["Pu", "S", "Rb", "S", "S", "Rb", "Pu", "S", "Rb", "S", "S", "Rb"],
  "fractional_positions": [[0.493, 0.144, 0.144], [0.993, 0.120, 0.120], [0.993, 0.544, 0.196], [0.993, 0.845, 0.579], [0.493, 0.155, 0.421], [0.493, 0.804, 0.456], [0.993, 0.856, 0.856], [0.493, 0.880, 0.880], [0.493, 0.456, 0.804], [0.493, 0.421, 0.155], [0.993, 0.579, 0.845], [0.993, 0.196, 0.544]],
  "relative_energy_mev_per_atom": 185.7,
  "dft_energy_ev_per_atom": -5.96,
  "magnetic_moment_mub_per_atom": 0.667,
  "volume_a3_per_atom": 37.9,
  "e_form_raw_ev_per_fu": -7.1
}